## i
A PBEsol-optimized structure of SrCaMg, computed with SCAN.

Total moment ... 0.0 Bohr magnetons per cell

```
data_SrCaMg
_cell_length_a 8.109
_cell_length_b 8.109
_cell_length_c 8.109
_cell_angle_alpha 90.00
_cell_angle_beta 90.00
_cell_angle_gamma 90.00
_space_group_name_H-M_alt 'F -4 3 m'
_space_group_IT_number 216
_space_group_name_Hall 'F -4 2 3'
loop_
_atom_site_label
_atom_site_type_symbol
_atom_site_fract_x
_atom_site_fract_y
_atom_site_fract_z
Sr1 Sr 0.000 0.000 0.000
Ca1 Ca 0.250 0.250 0.250
Mg1 Mg 0.000 0.000 0.500
```



## ii
A PBEsol-optimized structure of SrCaMg, computed with SCAN.

Total moment ... 0.4 Bohr magnetons per cell

```
data_SrCaMg
_cell_length_a 4.058
_cell_length_b 4.058
_cell_length_c 13.588
_cell_angle_alpha 90.00
_cell_angle_beta 90.00
_cell_angle_gamma 90.00
_space_group_name_H-M_alt 'I 4 m m'
_space_group_IT_number 107
_space_group_name_Hall 'I 4 -2'
loop_
_atom_site_label
_atom_site_type_symbol
_atom_site_fract_x
_atom_site_fract_y
_atom_site_fract_z
Sr1 Sr 0.000 0.000 0.000
Ca1 Ca 0.000 0.000 0.291
Mg1 Mg 0.000 0.000 0.657
```



Energy relative to the most stable one, in eV/atom: i 0.512; ii 0.000



## i
A PBEsol-optimized structure of CaMg2Tl2, computed with SCAN.

Total moment ... 0.0 Bohr magnetons per cell

```
data_CaMg2Tl2
_cell_length_a 4.489
_cell_length_b 4.489
_cell_length_c 13.098
_cell_angle_alpha 90.00
_cell_angle_beta 90.00
_cell_angle_gamma 90.00
_space_group_name_H-M_alt 'I 4/m m m'
_space_group_IT_number 139
_space_group_name_Hall '-I 4 2'
loop_
_atom_site_label
_atom_site_type_symbol
_atom_site_fract_x
_atom_site_fract_y
_atom_site_fract_z
Ca1 Ca 0.000 0.000 0.000
Mg1 Mg 0.000 0.500 0.250
Tl1 Tl 0.000 0.000 0.390
```



## ii
A PBEsol-optimized structure of CaMg2Tl2, computed with SCAN.

Total moment ... 0.0 Bohr magnetons per cell

```
data_CaMg2Tl2
_cell_length_a 8.611
_cell_length_b 8.611
_cell_length_c 3.486
_cell_angle_alpha 90.00
_cell_angle_beta 90.00
_cell_angle_gamma 90.00
_space_group_name_H-M_alt 'P 4/m b m'
_space_group_IT_number 127
_space_group_name_Hall '-P 4 2ab'
loop_
_atom_site_label
_atom_site_type_symbol
_atom_site_fract_x
_atom_site_fract_y
_atom_site_fract_z
Ca1 Ca 0.000 0.000 0.000
Mg1 Mg 0.142 0.358 0.500
Tl1 Tl 0.155 0.655 0.000
```



Energy relative to the most stable one, in eV/atom: i 0.000; ii 0.087



## i
A PBEsol-optimized structure of Ca2MgTl, computed with SCAN.

Total moment ... 0.1 Bohr magnetons per cell

```
data_Ca2MgTl
_cell_length_a 3.708
_cell_length_b 5.529
_cell_length_c 11.455
_cell_angle_alpha 90.00
_cell_angle_beta 90.00
_cell_angle_gamma 90.00
_space_group_name_H-M_alt 'I m m 2'
_space_group_IT_number 44
loop_
_space_group_symop_operation_xyz
'x,y,z'
'-x,-y,z'
'-x,y,z'
'x,-y,z'
'x+1/2,y+1/2,z+1/2'
'-x+1/2,-y+1/2,z+1/2'
'-x+1/2,y+1/2,z+1/2'
'x+1/2,-y+1/2,z+1/2'
loop_
_atom_site_label
_atom_site_type_symbol
_atom_site_fract_x
_atom_site_fract_y
_atom_site_fract_z
Ca1 Ca 0.000 0.000 0.000
Ca2 Ca 0.000 0.500 0.208
Mg1 Mg 0.000 0.500 0.767
Tl1 Tl 0.000 0.000 0.471
```



## ii
A PBEsol-optimized structure of Ca2MgTl, computed with SCAN.

Total moment ... 0.0 Bohr magnetons per cell

```
data_Ca2MgTl
_cell_length_a 5.447
_cell_length_b 5.447
_cell_length_c 3.816
_cell_angle_alpha 90.00
_cell_angle_beta 90.00
_cell_angle_gamma 90.00
_space_group_name_H-M_alt 'P 4/m m m'
_space_group_IT_number 123
_space_group_name_Hall '-P 4 2'
loop_
_atom_site_label
_atom_site_type_symbol
_atom_site_fract_x
_atom_site_fract_y
_atom_site_fract_z
Ca1 Ca 0.000 0.500 0.000
Mg1 Mg 0.000 0.000 0.500
Tl1 Tl 0.500 0.500 0.500
```



## iii
A PBEsol-optimized structure of Ca2MgTl, computed with SCAN.

Total moment ... 0.0 Bohr magnetons per cell

```
data_Ca2MgTl
_cell_length_a 7.670
_cell_length_b 7.670
_cell_length_c 7.670
_cell_angle_alpha 90.00
_cell_angle_beta 90.00
_cell_angle_gamma 90.00
_space_group_name_H-M_alt 'F m -3 m'
_space_group_IT_number 225
_space_group_name_Hall '-F 4 2 3'
loop_
_atom_site_label
_atom_site_type_symbol
_atom_site_fract_x
_atom_site_fract_y
_atom_site_fract_z
Ca1 Ca 0.250 0.250 0.250
Mg1 Mg 0.000 0.000 0.000
Tl1 Tl 0.000 0.000 0.500
```



Energy relative to the most stable one, in eV/atom: i 0.085; ii 0.009; iii 0.000



## i
A PBEsol-optimized structure of CaMg4Zn2, computed with SCAN.

Total moment ... 0.0 Bohr magnetons per cell

```
data_CaMg4Zn2
_cell_length_a 4.7222
_cell_length_b 4.7222
_cell_length_c 23.7284
_cell_angle_alpha 90.00
_cell_angle_beta 90.00
_cell_angle_gamma 120.00
_space_group_name_H-M_alt 'R -3 m'
_space_group_IT_number 166
_space_group_name_Hall '-R 3 2"'
loop_
_atom_site_label
_atom_site_type_symbol
_atom_site_fract_x
_atom_site_fract_y
_atom_site_fract_z
Ca1 Ca 0.0000 0.0000 0.0000
Mg1 Mg 0.0000 0.0000 0.1386
Mg2 Mg 0.0000 0.0000 0.4171
Zn1 Zn 0.0000 0.0000 0.2579
```



## ii
A PBEsol-optimized structure of CaMg4Zn2, computed with SCAN.

Total moment ... 0.0 Bohr magnetons per cell

```
data_CaMg4Zn2
_cell_length_a 7.292
_cell_length_b 7.292
_cell_length_c 5.559
_cell_angle_alpha 90.00
_cell_angle_beta 90.00
_cell_angle_gamma 90.00
_space_group_name_H-M_alt 'I 4/m m m'
_space_group_IT_number 139
_space_group_name_Hall '-I 4 2'
loop_
_atom_site_label
_atom_site_type_symbol
_atom_site_fract_x
_atom_site_fract_y
_atom_site_fract_z
Ca1 Ca 0.000 0.000 0.000
Mg1 Mg 0.197 0.197 0.500
Zn1 Zn 0.000 0.500 0.250
```



Energy relative to the most stable one, in eV/atom: i 0.000; ii 0.082



## i
A PBEsol-optimized structure of Ca2MgZn, computed with SCAN.

Total moment ... 0.3 Bohr magnetons per cell

```
data_Ca2MgZn
_cell_length_a 7.528
_cell_length_b 7.528
_cell_length_c 7.528
_cell_angle_alpha 90.00
_cell_angle_beta 90.00
_cell_angle_gamma 90.00
_space_group_name_H-M_alt 'F m -3 m'
_space_group_IT_number 225
_space_group_name_Hall '-F 4 2 3'
loop_
_atom_site_label
_atom_site_type_symbol
_atom_site_fract_x
_atom_site_fract_y
_atom_site_fract_z
Ca1 Ca 0.250 0.250 0.250
Mg1 Mg 0.000 0.000 0.000
Zn1 Zn 0.000 0.000 0.500
```



## ii
A PBEsol-optimized structure of Ca2MgZn, computed with SCAN.

Total moment ... 0.0 Bohr magnetons per cell

```
data_Ca2MgZn
_cell_length_a 3.600
_cell_length_b 3.600
_cell_length_c 8.508
_cell_angle_alpha 90.00
_cell_angle_beta 90.00
_cell_angle_gamma 90.00
_space_group_name_H-M_alt 'P 4 m m'
_space_group_IT_number 99
loop_
_space_group_symop_operation_xyz
'x,y,z'
'-y,x,z'
'-x,-y,z'
'y,-x,z'
'-x,y,z'
'y,x,z'
'x,-y,z'
'-y,-x,z'
loop_
_atom_site_label
_atom_site_type_symbol
_atom_site_fract_x
_atom_site_fract_y
_atom_site_fract_z
Ca1 Ca 0.000 0.000 0.000
Ca2 Ca 0.500 0.500 0.353
Mg1 Mg 0.000 0.000 0.619
Zn1 Zn 0.500 0.500 0.781
```



Energy relative to the most stable one, in eV/atom: i 0.000; ii 0.008



## i
A PBEsol-optimized structure of Ca2MgZn, computed with SCAN.

Total moment ... 0.2 Bohr magnetons per cell

```
data_Ca2MgZn
_cell_length_a 3.586
_cell_length_b 12.984
_cell_length_c 9.404
_cell_angle_alpha 90.00
_cell_angle_beta 90.00
_cell_angle_gamma 90.00
_space_group_name_H-M_alt 'C m c m'
_space_group_IT_number 63
_space_group_name_Hall '-C 2c 2'
loop_
_atom_site_label
_atom_site_type_symbol
_atom_site_fract_x
_atom_site_fract_y
_atom_site_fract_z
Ca1 Ca 0.000 0.132 0.060
Mg1 Mg 0.000 0.439 0.250
Zn1 Zn 0.000 0.228 0.750
```



## ii
A PBEsol-optimized structure of Ca2MgZn, computed with SCAN.

Total moment ... 0.2 Bohr magnetons per cell

```
data_Ca2MgZn
_cell_length_a 3.651
_cell_length_b 5.411
_cell_length_c 10.967
_cell_angle_alpha 90.00
_cell_angle_beta 90.00
_cell_angle_gamma 90.00
_space_group_name_H-M_alt 'I m m 2'
_space_group_IT_number 44
loop_
_space_group_symop_operation_xyz
'x,y,z'
'-x,-y,z'
'-x,y,z'
'x,-y,z'
'x+1/2,y+1/2,z+1/2'
'-x+1/2,-y+1/2,z+1/2'
'-x+1/2,y+1/2,z+1/2'
'x+1/2,-y+1/2,z+1/2'
loop_
_atom_site_label
_atom_site_type_symbol
_atom_site_fract_x
_atom_site_fract_y
_atom_site_fract_z
Ca1 Ca 0.000 0.000 0.000
Ca2 Ca 0.000 0.500 0.202
Mg1 Mg 0.000 0.500 0.785
Zn1 Zn 0.000 0.000 0.475
```



Energy relative to the most stable one, in eV/atom: i 0.000; ii 0.010



## i
A PBEsol-optimized structure of Ca2MgZn, computed with SCAN.

Total moment ... 0.0 Bohr magnetons per cell

```
data_Ca2MgZn
_cell_length_a 5.407
_cell_length_b 3.713
_cell_length_c 6.361
_cell_angle_alpha 90.00
_cell_angle_beta 112.93
_cell_angle_gamma 90.00
_space_group_name_H-M_alt 'P 1 2/m 1'
_space_group_IT_number 10
loop_
_space_group_symop_operation_xyz
'x,y,z'
'-x,-y,-z'
'-x,y,-z'
'x,-y,z'
loop_
_atom_site_label
_atom_site_type_symbol
_atom_site_fract_x
_atom_site_fract_y
_atom_site_fract_z
Ca1 Ca 0.000 0.000 0.000
Ca2 Ca 0.000 0.500 0.500
Mg1 Mg 0.500 0.000 0.500
Zn1 Zn 0.500 0.500 0.000
```



## ii
A PBEsol-optimized structure of Ca2MgZn, computed with SCAN.

Total moment ... 0.1 Bohr magnetons per cell

```
data_Ca2MgZn
_cell_length_a 7.491
_cell_length_b 7.506
_cell_length_c 3.809
_cell_angle_alpha 90.00
_cell_angle_beta 90.00
_cell_angle_gamma 90.00
_space_group_name_H-M_alt 'C m m m'
_space_group_IT_number 65
_space_group_name_Hall '-C 2 2'
loop_
_atom_site_label
_atom_site_type_symbol
_atom_site_fract_x
_atom_site_fract_y
_atom_site_fract_z
Ca1 Ca 0.250 0.250 0.000
Mg1 Mg 0.000 0.000 0.500
Zn1 Zn 0.000 0.500 0.500
```



## iii
A PBEsol-optimized structure of Ca2MgZn, computed with SCAN.

Total moment ... 0.0 Bohr magnetons per cell

```
data_Ca2MgZn
_cell_length_a 4.966
_cell_length_b 4.966
_cell_length_c 17.702
_cell_angle_alpha 90.00
_cell_angle_beta 90.00
_cell_angle_gamma 90.00
_space_group_name_H-M_alt 'I 4/m m m'
_space_group_IT_number 139
_space_group_name_Hall '-I 4 2'
loop_
_atom_site_label
_atom_site_type_symbol
_atom_site_fract_x
_atom_site_fract_y
_atom_site_fract_z
Ca1 Ca 0.000 0.000 0.155
Ca2 Ca 0.000 0.500 0.000
Mg1 Mg 0.000 0.000 0.346
Zn1 Zn 0.000 0.500 0.250
```



Energy relative to the most stable one, in eV/atom: i 0.219; ii 0.000; iii 0.021



## i
A PBEsol-optimized structure of Ca2Mg4Zn, computed with SCAN.

Total moment ... 0.3 Bohr magnetons per cell

```
data_Ca2Mg4Zn
_cell_length_a 5.2074
_cell_length_b 5.2074
_cell_length_c 22.1816
_cell_angle_alpha 90.00
_cell_angle_beta 90.00
_cell_angle_gamma 120.00
_space_group_name_H-M_alt 'R -3 m'
_space_group_IT_number 166
_space_group_name_Hall '-R 3 2"'
loop_
_atom_site_label
_atom_site_type_symbol
_atom_site_fract_x
_atom_site_fract_y
_atom_site_fract_z
Ca1 Ca 0.0000 0.0000 0.2135
Mg1 Mg 0.0000 0.0000 0.0649
Mg2 Mg 0.0000 0.0000 0.3673
Zn1 Zn 0.0000 0.0000 0.5000
```



## ii
A PBEsol-optimized structure of Ca2Mg4Zn, computed with SCAN.

Total moment ... 0.0 Bohr magnetons per cell

```
data_Ca2Mg4Zn
_cell_length_a 7.023
_cell_length_b 7.023
_cell_length_c 8.487
_cell_angle_alpha 90.00
_cell_angle_beta 90.00
_cell_angle_gamma 90.00
_space_group_name_H-M_alt 'I 4/m m m'
_space_group_IT_number 139
_space_group_name_Hall '-I 4 2'
loop_
_atom_site_label
_atom_site_type_symbol
_atom_site_fract_x
_atom_site_fract_y
_atom_site_fract_z
Ca1 Ca 0.000 0.500 0.250
Mg1 Mg 0.219 0.219 0.000
Zn1 Zn 0.000 0.000 0.500
```



Energy relative to the most stable one, in eV/atom: i 0.000; ii 0.320